Entry 1:
The following is a GGA-PBE calculation of a relaxed structure of CsLiPuCl4, from Alexandria via LeMat-Bulk.

It has space group P2_1/m (No. 11), with a = 6.744 Å, b = 7.038 Å, c = 9.511 Å, α = 90.00°, β = 110.09° and γ = 90.00°. The inequivalent atoms are Cs at (0.225, 0.250, 0.436), Li at (0.271, 0.750, 0.174), Pu at (0.298, 0.250, 0.958), Cl at (0.045, 0.750, 0.931), Cl at (0.067, 0.750, 0.326) and Cl at (0.484, 0.501, 0.795).

The value obtained for the density of states at the Fermi level is 34.03 states/eV/cell. The calculation puts the calculated volume at 30.286 Å³ per atom.

***

Entry 2:
The following is a GGA-PBE calculation of a relaxed structure of CsLiPuCl5, from Alexandria via LeMat-Bulk.

It has space group C2/c (No. 15), with a = 9.339 Å, b = 12.525 Å, c = 10.374 Å, α = 90.00°, β = 113.98° and γ = 90.00°. The inequivalent atoms are Cs at (0.000, 0.159, 0.250), Li at (0.000, 0.194, 0.750), Pu at (0.000, 0.500, 0.000), Cl at (0.000, 0.433, 0.250), Cl at (0.092, 0.299, 0.602) and Cl at (0.200, 0.072, 0.910).

The value obtained for the density of states at the Fermi level is 38.37 states/eV/cell. The calculation puts the calculated volume at 34.648 Å³ per atom.

***

Entry 3:
The following is a GGA-PBE calculation of a relaxed structure of CsLiPuCl6, from Alexandria via LeMat-Bulk.

It has space group P-31c (No. 163), with a = 6.8257 Å, b = 6.8257 Å, c = 15.6913 Å, α = 90.00°, β = 90.00° and γ = 120.00°. The inequivalent atoms are Cs at (0.0000, 0.0000, 0.0000), Li at (0.3333, 0.6667, 0.2500), Pu at (0.3333, 0.6667, 0.7500) and Cl at (0.0026, 0.3725, 0.6553).

The value obtained for the density of states at the Fermi level is 5.14 states/eV/cell. The calculation puts the calculated volume at 35.174 Å³ per atom.

***

Entry 4:
The following is a GGA-PBE calculation of a relaxed structure of CsLi2PuCl8, from Alexandria via LeMat-Bulk.

It has space group P-1 (No. 2), with a = 6.514 Å, b = 6.520 Å, c = 9.787 Å, α = 87.48°, β = 87.46° and γ = 71.87°. The inequivalent atoms are Cs at (0.000, 0.000, 0.000), Li at (0.499, 0.499, 0.845), Pu at (0.000, 0.000, 0.500), Cl at (0.227, 0.753, 0.686), Cl at (0.233, 0.234, 0.502), Cl at (0.248, 0.774, 0.314) and Cl at (0.334, 0.334, 0.011).

The value obtained for the density of states at the Fermi level is 14.02 states/eV/cell. The calculation puts the calculated volume at 32.870 Å³ per atom.

***

Entry 5:
The following is a GGA-PBE calculation of a relaxed structure of Cs3LiPu2Cl9, from Alexandria via LeMat-Bulk.

It has space group P-3m1 (No. 164), with a = 7.7018 Å, b = 7.7018 Å, c = 9.4947 Å, α = 90.00°, β = 90.00° and γ = 120.00°. The inequivalent atoms are Cs at (0.0000, 0.0000, 0.0000), Cs at (0.3333, 0.6667, 0.6537), Li at (0.0000, 0.0000, 0.5000), Pu at (0.3333, 0.6667, 0.1812), Cl at (0.0000, 0.5000, 0.0000) and Cl at (0.1616, 0.3233, 0.3375).

The value obtained for the density of states at the Fermi level is 35.25 states/eV/cell. The calculation puts the calculated volume at 32.516 Å³ per atom.

***

Entry 6:
The following is a GGA-PBE calculation of a relaxed structure of Cs2RbLiCl4, from Alexandria via LeMat-Bulk.

It has space group C2/c (No. 15), with a = 12.990 Å, b = 13.369 Å, c = 9.542 Å, α = 90.00°, β = 132.70° and γ = 90.00°. The inequivalent atoms are Cs at (0.000, 0.000, 0.000), Cs at (0.250, 0.250, 0.000), Rb at (0.250, 0.250, 0.500), Li at (0.000, 0.500, 0.000), Cl at (0.000, 0.253, 0.011) and Cl at (0.197, 0.496, 0.531).

The value obtained for the density of states at the Fermi level is 0.00 states/eV/cell. The calculation puts the calculated volume at 38.058 Å³ per atom.

***

Short version: energy relative to the elements, uncorrected = -1229; -1487; -1582; -1853; -2831; -1410 kJ/mol of formula units, in the order given.